Compound: Y2Sn2As
Source: Alexandria via LeMat-Bulk
Functional: PBE
Structure: relaxed

V: 26.46 Å³/atom
relative energy among the computed polymorphs: 0.174 eV/atom
density: 6.2 Mg/m³
total magnetic moment: 0.000 μB per atom

CIF file:
```
data_Y2Sn2As
_chemical_formula_sum 'Y4 Sn4 As2'
_symmetry_space_group_name_H-M 'P 4/m b m'
_symmetry_Int_Tables_number 127
_symmetry_space_group_name_Hall '-P 4 2ab'
_cell_length_a 7.7379
_cell_length_b 7.7379
_cell_length_c 4.4185
_cell_angle_alpha 90.00
_cell_angle_beta 90.00
_cell_angle_gamma 90.00
loop_
_atom_site_label
_atom_site_type_symbol
_atom_site_fract_x
_atom_site_fract_y
_atom_site_fract_z
_atom_site_occupancy
Y1 Y 0.1713 0.3287 0.0000 1
Sn1 Sn 0.1340 0.6340 0.5000 1
As1 As 0.0000 0.0000 0.5000 1
```

=====

Compound: YSn2As2
Source: Alexandria via LeMat-Bulk
Functional: PBE
Structure: relaxed

V: 24.48 Å³/atom
density: 6.5 Mg/m³
total magnetic moment: 0.000 μB per atom

CIF file:
```
data_YSn2As2
_chemical_formula_sum 'Y2 Sn4 As4'
_symmetry_space_group_name_H-M 'P 4/m b m'
_symmetry_Int_Tables_number 127
_symmetry_space_group_name_Hall '-P 4 2ab'
_cell_length_a 7.5445
_cell_length_b 7.5445
_cell_length_c 4.3007
_cell_angle_alpha 90.00
_cell_angle_beta 90.00
_cell_angle_gamma 90.00
loop_
_atom_site_label
_atom_site_type_symbol
_atom_site_fract_x
_atom_site_fract_y
_atom_site_fract_z
_atom_site_occupancy
Y1 Y 0.0000 0.0000 0.0000 1
Sn1 Sn 0.1688 0.3312 0.5000 1
As1 As 0.1417 0.6417 0.0000 1
```

=====

Compound: YSn2As2
Source: Alexandria via LeMat-Bulk
Functional: PBE
Structure: relaxed

V: 25.58 Å³/atom
density: 6.2 Mg/m³
total magnetic moment: 0.000 μB per atom

CIF file:
```
data_YSn2As2
_chemical_formula_sum 'Y2 Sn4 As4'
_symmetry_space_group_name_H-M 'I 4/m m m'
_symmetry_Int_Tables_number 139
_symmetry_space_group_name_Hall '-I 4 2'
_cell_length_a 4.1168
_cell_length_b 4.1168
_cell_length_c 15.0945
_cell_angle_alpha 90.00
_cell_angle_beta 90.00
_cell_angle_gamma 90.00
loop_
_atom_site_label
_atom_site_type_symbol
_atom_site_fract_x
_atom_site_fract_y
_atom_site_fract_z
_atom_site_occupancy
Y1 Y 0.0000 0.0000 0.0000 1
Sn1 Sn 0.0000 0.0000 0.4000 1
As1 As 0.0000 0.5000 0.2500 1
```

=====

| no. | energy relative to the elements (kJ/mol of atoms) |
| --- | --- |
| 1 | -52.9 |
| 2 | -35.8 |
| 3 | -1.3 |